1.
FeSe | PBE | relaxed

a = 3.828 Å, b = 3.828 Å, c = 5.028 Å
α = 90.00°, β = 90.00°, γ = 120.00°
Site moments in Bohr magnetons follow the coordinates.
Positions (direct):
Fe 0.000 0.000 0.000  2.32
Fe 0.000 0.000 0.500  2.32
Se 0.333 0.667 0.750  0.00
Se 0.667 0.333 0.250  0.00

uncorrected formation energy: -0.08 eV per atom
space-group type: No. 194
ρ: 7.02 Mg/m³

***

2.
La5SmBi4 | PBE | relaxed

a = 4.561 Å, b = 9.040 Å, c = 10.200 Å
α = 104.46°, β = 102.92°, γ = 90.00°
Positions (direct):
La 0.164 0.824 0.328
La 0.836 0.176 0.672
La 0.826 0.654 0.651
La 0.174 0.346 0.349
La 0.500 0.500 0.000
Bi 0.006 0.251 0.012
Bi 0.667 0.085 0.335
Bi 0.333 0.915 0.665
Bi 0.994 0.749 0.988
Sm 0.500 0.000 0.000

space-group type: No. 12
ρ: 7.04 Mg/m³
electronic total energy: -51.3 eV/cell

***

3.
LaScAs2Os | PBE | relaxed

a = 4.981 Å, b = 4.799 Å, c = 4.981 Å
α = 90.00°, β = 90.00°, γ = 90.00°
Positions (direct):
La 0.500 0.500 0.500
Os 0.000 0.000 0.000
As 0.500 0.000 0.000
As 0.000 0.000 0.500
Sc 0.000 0.500 0.000

space-group type: No. 123
ρ: 7.31 Mg/m³
electronic total energy: -32.1 eV/cell

***

4.
CeTmGe2 | PBE | relaxed

a = 4.596 Å, b = 4.596 Å, c = 5.952 Å
α = 67.29°, β = 67.29°, γ = 60.00°
Positions (direct):
Ge 0.245 0.245 0.266
Ge 0.755 0.755 0.734
Ce 0.000 0.000 0.000
Tm 0.500 0.500 0.500

space-group type: No. 166
ρ: 7.74 Mg/m³
electronic total energy: -22.3 eV/cell

***

5.
TlCrCo2 | PBE | relaxed

a = 8.422 Å, b = 8.422 Å, c = 8.422 Å
α = 20.13°, β = 20.13°, γ = 20.13°
Site moments in Bohr magnetons follow the coordinates.
Positions (direct):
Co 0.989 0.989 0.989  1.69
Co 0.253 0.253 0.253  1.71
Cr 0.512 0.512 0.512  2.60
Tl 0.747 0.747 0.747  -0.05

space-group type: No. 160
ρ: 10.04 Mg/m³
E above lowest polymorph: 0.319 eV per atom

***

6.
Mg4Sc5In2 | PBE | relaxed

a = 3.468 Å, b = 8.045 Å, c = 18.431 Å
α = 90.00°, β = 90.00°, γ = 90.00°
Positions (direct):
Sc 0.000 0.729 0.793
Sc 0.000 0.771 0.293
Sc 0.000 0.873 0.069
Sc 0.000 0.127 0.931
Sc 0.000 0.500 0.000
Sc 0.000 0.271 0.207
Sc 0.000 0.373 0.431
Sc 0.000 0.000 0.500
Sc 0.000 0.229 0.707
Sc 0.000 0.627 0.569
In 0.500 0.468 0.305
In 0.500 0.968 0.195
In 0.500 0.032 0.805
In 0.500 0.532 0.695
Mg 0.500 0.588 0.147
Mg 0.500 0.208 0.066
Mg 0.500 0.708 0.434
Mg 0.500 0.292 0.566
Mg 0.500 0.088 0.353
Mg 0.500 0.412 0.853
Mg 0.500 0.792 0.934
Mg 0.500 0.912 0.647

space-group type: No. 55
ρ: 3.56 Mg/m³
electronic total energy: -90.9 eV/cell

***

7.
LiAc2PrTe4 | PBE | relaxed

a = 4.616 Å, b = 7.859 Å, c = 8.073 Å
α = 70.29°, β = 90.00°, γ = 90.00°
Positions (direct):
Li 0.500 0.500 0.000
Te 0.000 0.728 0.764
Te 0.500 0.268 0.752
Te 0.500 0.732 0.248
Te 0.000 0.272 0.236
Pr 0.000 0.500 0.500
Ac 0.000 0.000 0.000
Ac 0.500 0.000 0.500

uncorrected formation energy: -1.41 eV per atom
space-group type: No. 10
ρ: 6.70 Mg/m³

***

8.
K2VFeSe4 | PBE | relaxed

a = 5.611 Å, b = 7.325 Å, c = 12.495 Å
α = 85.07°, β = 77.03°, γ = 67.48°
Site moments in Bohr magnetons follow the coordinates.
Positions (direct):
V 0.500 0.000 0.000  -0.45
V 0.250 0.500 0.500  -0.45
Se 0.899 0.800 0.890  0.08
Se 0.211 0.200 0.890  0.08
Se 0.851 0.700 0.610  0.08
Se 0.589 0.200 0.110  0.08
Se 0.449 0.700 0.390  0.08
Se 0.539 0.300 0.610  0.08
Se 0.161 0.300 0.390  0.08
Se 0.301 0.800 0.110  0.08
K 0.179 0.000 0.641  0.00
K 0.929 0.500 0.141  0.00
K 0.571 0.500 0.859  0.00
K 0.821 0.000 0.359  0.00
Fe 0.000 0.000 0.000  2.78
Fe 0.750 0.500 0.500  2.78

uncorrected formation energy: -0.89 eV per atom
space-group type: No. 70
ρ: 3.60 Mg/m³

***

9.
AcGd3P | PBE | relaxed

a = 5.515 Å, b = 5.515 Å, c = 5.515 Å
α = 90.00°, β = 90.00°, γ = 90.00°
Site moments in Bohr magnetons follow the coordinates.
Positions (direct):
Ac 0.500 0.500 0.500  0.14
Gd 0.000 0.500 0.000  7.20
Gd 0.500 0.000 0.000  7.20
Gd 0.000 0.000 0.500  7.20
P 0.000 0.000 0.000  -0.04

space-group type: No. 221
ρ: 7.22 Mg/m³
electronic total energy: -54.1 eV/cell

***

10.
AlSi2Pt | PBE | relaxed

a = 4.106 Å, b = 3.884 Å, c = 4.575 Å
α = 71.90°, β = 90.00°, γ = 90.00°
Positions (direct):
Si 0.000 0.886 0.980
Si 0.000 0.614 0.520
Al 0.500 0.250 0.250
Pt 0.500 0.750 0.750

uncorrected formation energy: -0.19 eV per atom
space-group type: No. 10
ρ: 6.66 Mg/m³

***

11.
Pm3CoAg | PBE | relaxed

a = 6.153 Å, b = 6.153 Å, c = 8.681 Å
α = 67.82°, β = 67.82°, γ = 62.74°
Positions (direct):
Pm 0.295 0.295 0.324
Pm 0.023 0.023 0.784
Pm 0.684 0.684 0.132
Pm 0.316 0.316 0.868
Pm 0.977 0.977 0.216
Pm 0.705 0.705 0.676
Co 0.318 0.682 0.000
Co 0.682 0.318 0.000
Ag 0.279 0.721 0.500
Ag 0.721 0.279 0.500

space-group type: No. 12
ρ: 7.63 Mg/m³
E above lowest polymorph: 0.006 eV per atom

***

12.
Pm3PrPt | PBE | relaxed

a = 5.286 Å, b = 7.325 Å, c = 8.054 Å
α = 90.00°, β = 90.00°, γ = 90.00°
Positions (direct):
Pm 0.750 0.474 0.661
Pm 0.250 0.250 0.938
Pm 0.250 0.526 0.339
Pm 0.750 0.750 0.062
Pm 0.250 0.974 0.339
Pm 0.750 0.026 0.661
Pr 0.250 0.750 0.783
Pr 0.750 0.250 0.217
Pt 0.250 0.250 0.593
Pt 0.750 0.750 0.407

space-group type: No. 59
ρ: 8.21 Mg/m³
E above lowest polymorph: 0.000 eV per atom